Entry 1:
## Li4MgSn5 (GGA-PBE)

Data for Li4MgSn5 after structural relaxation.

Formation enthalpy at 0 K, eV/atom: -0.2734
Crystal system: tetragonal
Space-group type: P4/mmm (123)

a = 3.4876 Å, b = 3.4876 Å, c = 17.4848 Å
α = 90.00°, β = 90.00°, γ = 90.00°
Sites, in units of the cell vectors:
Sn 0.5000 0.5000 0.3085
Mg 0.0000 0.0000 0.0000
Li 0.0000 0.0000 0.2128
Li 0.0000 0.0000 0.4050
Sn 0.5000 0.5000 0.6915
Li 0.0000 0.0000 0.5950
Sn 0.5000 0.5000 0.8892
Li 0.0000 0.0000 0.7872
Sn 0.5000 0.5000 0.5000
Sn 0.5000 0.5000 0.1108

---

Entry 2:
## SmMgZrTl (GGA-PBE)

Data for SmMgZrTl after structural relaxation.

Formation enthalpy at 0 K, eV/atom: -0.0637
Crystal system: cubic
Space-group type: F-43m (216)

a = 5.2167 Å, b = 5.2167 Å, c = 5.2167 Å
α = 60.00°, β = 60.00°, γ = 60.00°
Sites, in units of the cell vectors:
Sm 0.2500 0.2500 0.2500
Tl 0.5000 0.5000 0.5000
Zr 0.7500 0.7500 0.7500
Mg 0.0000 0.0000 0.0000

---

What did the second record say?
## SmMgZrTl (GGA-PBE)

Data for SmMgZrTl after structural relaxation.

Formation enthalpy at 0 K, eV/atom: -0.0637
Crystal system: cubic
Space-group type: F-43m (216)

a = 5.2167 Å, b = 5.2167 Å, c = 5.2167 Å
α = 60.00°, β = 60.00°, γ = 60.00°
Sites, in units of the cell vectors:
Sm 0.2500 0.2500 0.2500
Tl 0.5000 0.5000 0.5000
Zr 0.7500 0.7500 0.7500
Mg 0.0000 0.0000 0.0000